No. 1
A crystal of HfNbTe3 relaxed with PBEsol. Source: Alexandria via LeMat-Bulk, functional meta-GGA SCAN.

Geometry as POSCAR:
```
HfNbTe3
1.0
5.412 0.000 0.000
0.000 5.412 0.000
0.000 0.000 5.412
Hf Nb Te
1 1 3
direct
0.000 0.000 0.000
0.500 0.500 0.500
0.000 0.000 0.500
0.000 0.500 0.000
0.500 0.000 0.000
```

Results
**Calculated volume**: 158.5 Å³/f.u.
**Formation energy (no corrections)**: 0.460 eV/atom
**Size of the total moment**: 0.598 μB per atom
**Energy relative to the lowest polymorph listed for this composition**: 0 meV per atom

***

No. 2
A crystal of SrMg2Ag relaxed with PBEsol. Source: Alexandria via LeMat-Bulk, functional meta-GGA SCAN.

Geometry as POSCAR:
```
SrMg2Ag
1.0
3.668 0.000 0.000
0.000 3.668 0.000
0.000 0.000 7.639
Sr Mg Ag
1 2 1
direct
0.000 0.000 0.000
0.000 0.000 0.445
0.500 0.500 0.673
0.500 0.500 0.282
```

Results
**Formation energy from the elements**: -0.120 eV per atom
**Calculated volume**: 102.8 Å³/f.u.
**Size of the total moment**: 0.003 μB per atom

***

No. 3
A crystal of TbHoIn2 relaxed with PBEsol. Source: Alexandria via LeMat-Bulk, functional meta-GGA SCAN.

Geometry as POSCAR:
```
TbHoIn2
1.0
0.000 3.690 3.690
3.690 0.000 3.690
3.690 3.690 0.000
Tb Ho In
1 1 2
direct
0.000 0.000 0.000
0.500 0.500 0.500
0.250 0.250 0.250
0.750 0.750 0.750
```

Results
**Formation energy from the elements**: -0.616 eV per atom
**Calculated volume**: 100.5 Å³/f.u.
**Size of the total moment**: 0.000 μB per atom

***

No. 4
A crystal of ScIrSe2 relaxed with PBEsol. Source: Alexandria via LeMat-Bulk, functional meta-GGA SCAN.

Geometry as POSCAR:
```
ScIrSe2
1.0
0.000 3.349 4.092
2.721 0.000 4.092
2.721 3.349 0.000
Sc Ir Se
1 1 2
direct
0.000 0.000 0.000
0.500 0.500 0.500
0.000 0.500 0.500
0.500 0.000 0.000
```

Results
**Calculated volume**: 74.6 Å³/f.u.
**Formation energy (no corrections)**: -0.471 eV/atom
**Size of the total moment**: 0.000 μB per atom
**Energy relative to the lowest polymorph listed for this composition**: 39 meV per atom

***

No. 5
A crystal of LaGdCu4Sn4 relaxed with PBEsol. Source: Alexandria via LeMat-Bulk, functional meta-GGA SCAN.

Geometry as POSCAR:
```
LaGdCu4Sn4
1.0
4.394 0.000 0.000
0.000 4.394 0.000
0.000 0.000 10.540
La Gd Cu Sn
1 1 4 4
direct
0.000 0.000 0.000
0.500 0.500 0.479
0.000 0.000 0.606
0.000 0.500 0.246
0.500 0.000 0.246
0.500 0.500 0.879
0.000 0.000 0.372
0.000 0.500 0.740
0.500 0.000 0.740
0.500 0.500 0.118
```

Results
**Formation energy from the elements**: -0.475 eV per atom
**Calculated volume**: 203.5 Å³/f.u.
**Size of the total moment**: 0.719 μB per atom

***

No. 6
A crystal of Li2Fe3SnO8 relaxed with PBEsol. Source: Alexandria via LeMat-Bulk, functional meta-GGA SCAN.

Geometry as POSCAR:
```
Li2Fe3SnO8
1.0
2.818 1.627 4.998
-2.818 1.627 4.998
0.000 -3.254 4.998
Li Fe Sn O
2 3 1 8
direct
0.122 0.122 0.122
0.878 0.878 0.878
0.000 0.500 0.500
0.500 0.000 0.500
0.500 0.500 0.000
0.500 0.500 0.500
0.250 0.250 0.718
0.250 0.718 0.250
0.266 0.266 0.266
0.282 0.750 0.750
0.718 0.250 0.250
0.734 0.734 0.734
0.750 0.282 0.750
0.750 0.750 0.282
```

Results
**Calculated volume**: 137.5 Å³/f.u.
**Formation energy (no corrections)**: -1.763 eV/atom
**Size of the total moment**: 0.286 μB per atom
**Energy relative to the lowest polymorph listed for this composition**: 0 meV per atom

***

No. 7
A crystal of Nb12Sn3Sb relaxed with PBEsol. Source: Alexandria via LeMat-Bulk, functional meta-GGA SCAN.

Geometry as POSCAR:
```
Nb12Sn3Sb
1.0
5.265 0.000 0.000
0.000 5.268 0.000
0.000 0.000 10.543
Nb Sn Sb
12 3 1
direct
0.000 0.000 0.124
0.000 0.000 0.376
0.000 0.000 0.624
0.000 0.000 0.876
0.248 0.500 0.249
0.248 0.500 0.751
0.500 0.251 0.000
0.500 0.251 0.500
0.500 0.749 0.000
0.500 0.749 0.500
0.752 0.500 0.249
0.752 0.500 0.751
0.000 0.500 0.500
0.500 0.000 0.250
0.500 0.000 0.750
0.000 0.500 0.000
```

Results
**Calculated volume**: 292.5 Å³/f.u.
**Formation energy (no corrections)**: -0.295 eV/atom
**Size of the total moment**: 0.000 μB per atom

***

No. 8
A crystal of NaMoSCl2 relaxed with PBEsol. Source: Alexandria via LeMat-Bulk, functional meta-GGA SCAN.

Geometry as POSCAR:
```
NaMoSCl2
1.0
4.929 0.000 0.000
0.000 4.929 0.000
0.000 0.000 4.569
Na Mo S Cl
1 1 1 2
direct
0.000 0.000 0.000
0.500 0.500 0.500
0.500 0.500 0.000
0.000 0.500 0.500
0.500 0.000 0.500
```

Results
**Calculated volume**: 111.0 Å³/f.u.
**Formation energy (no corrections)**: -0.839 eV/atom
**Size of the total moment**: 0.310 μB per atom
**Energy relative to the lowest polymorph listed for this composition**: 0 meV per atom

***

No. 9
A crystal of KW relaxed with PBEsol. Source: Alexandria via LeMat-Bulk, functional meta-GGA SCAN.

Geometry as POSCAR:
```
KW
1.0
3.312 0.000 0.000
0.000 3.312 0.000
0.000 0.000 10.900
K W
2 2
direct
0.250 0.250 0.196
0.750 0.750 0.804
0.250 0.250 0.548
0.750 0.750 0.452
```

Results
**Formation energy from the elements**: 1.019 eV per atom
**Calculated volume**: 59.8 Å³/f.u.
**Size of the total moment**: 0.035 μB per atom
**Energy relative to the lowest polymorph listed for this composition**: 0 meV per atom

***

No. 10
A crystal of AlPRh2 relaxed with PBEsol. Source: Alexandria via LeMat-Bulk, functional meta-GGA SCAN.

Geometry as POSCAR:
```
AlPRh2
1.0
0.000 3.016 3.016
3.016 0.000 3.016
3.016 3.016 0.000
Al P Rh
1 1 2
direct
0.000 0.000 0.000
0.250 0.250 0.250
0.500 0.500 0.500
0.750 0.750 0.750
```

Results
**Formation energy from the elements**: -0.133 eV per atom
**Calculated volume**: 54.8 Å³/f.u.
**Size of the total moment**: 0.000 μB per atom
**Energy relative to the lowest polymorph listed for this composition**: 255 meV per atom

***

No. 11
A crystal of NiB2Mo2 relaxed with PBEsol. Source: Alexandria via LeMat-Bulk, functional meta-GGA SCAN.

Geometry as POSCAR:
```
NiB2Mo2
1.0
5.640 0.000 0.000
0.000 5.640 0.000
0.000 0.000 3.188
Ni B Mo
2 4 4
direct
0.000 0.000 0.000
0.500 0.500 0.000
0.113 0.387 0.000
0.387 0.887 0.000
0.613 0.113 0.000
0.887 0.613 0.000
0.178 0.678 0.500
0.322 0.178 0.500
0.678 0.822 0.500
0.822 0.322 0.500
```

Results
**Formation energy from the elements**: -0.407 eV per atom
**Calculated volume**: 50.7 Å³/f.u.
**Size of the total moment**: 0.000 μB per atom
**Energy relative to the lowest polymorph listed for this composition**: 74 meV per atom

***

No. 12
A crystal of LiTiCrO4 relaxed with PBEsol. Source: Alexandria via LeMat-Bulk, functional meta-GGA SCAN.

Geometry as POSCAR:
```
LiTiCrO4
1.0
2.939 0.000 0.000
0.000 4.938 0.000
0.000 0.000 9.470
Li Ti Cr O
2 2 2 8
direct
0.000 0.189 0.000
0.000 0.811 0.500
0.000 0.243 0.322
0.000 0.757 0.822
0.500 0.260 0.603
0.500 0.740 0.103
0.000 0.035 0.682
0.000 0.440 0.507
0.000 0.560 0.007
0.000 0.965 0.182
0.500 0.040 0.429
0.500 0.451 0.248
0.500 0.549 0.748
0.500 0.960 0.929
```

Results
**Calculated volume**: 68.7 Å³/f.u.
**Formation energy (no corrections)**: -2.860 eV/atom
**Size of the total moment**: 0.429 μB per atom
**Energy relative to the lowest polymorph listed for this composition**: 15 meV per atom